1.
This record from the Alexandria database describes a relaxed structure of KCoBr2. The functional is PBE-GGA.

Structure (POSCAR):
```
KCoBr2
1.0
-5.740 2.777 -4.423
-0.320 -2.684 4.637
-1.683 2.617 2.027
Br Co K
2 1 1
Cartesian
0.000 0.000 0.000
-3.711 2.697 -1.198
-1.001 -0.034 3.332
-3.030 0.046 0.107
```

Results
* energy relative to the lowest polymorph listed for this composition: 0.383 eV per atom
* Fermi-level density of states: 3.338 states/eV/cell
* total energy: -3.151 eV/atom
* formation energy without anion corrections: -0.264 eV per atom
* symmetry: C2/m (12)

***

2.
This record from the Alexandria database describes a relaxed structure of K2LiCoBr6. The functional is PBE-GGA.

Structure (POSCAR):
```
K2LiCoBr6
1.0
-4.617 -5.683 -0.297
3.829 -2.820 -5.576
2.580 -6.843 0.417
K Li Co Br
2 1 1 6
Cartesian
-1.215 -8.389 -1.408
3.008 -6.958 -4.047
0.000 0.000 0.000
-0.394 -4.252 -2.936
1.006 -5.472 -1.358
1.998 -13.095 -3.898
1.592 -3.582 -4.180
0.201 -11.765 -1.275
-0.205 -2.251 -1.557
0.787 -9.875 -4.097
```

Results
* Fermi-level density of states: 0.945 states/eV/cell
* total energy: -3.181 eV/atom
* formation energy without anion corrections: -1.056 eV per atom
* symmetry: I4/m (87)

***

3.
This record from the Alexandria database describes a relaxed structure of KMgCo2Br8. The functional is PBE-GGA.

Structure (POSCAR):
```
KMgCo2Br8
1.0
6.693 0.000 0.000
3.346 5.796 0.000
3.346 1.932 9.767
K Mg Co Br
1 1 2 8
Cartesian
6.693 3.864 4.884
0.000 0.000 0.000
3.346 1.932 2.305
10.039 5.796 7.462
3.346 1.932 4.630
5.617 1.906 1.606
10.039 5.796 5.137
8.927 3.912 1.606
4.459 3.816 8.161
5.535 5.775 1.606
7.851 1.953 8.161
7.769 5.823 8.161
```

Results
* Fermi-level density of states: 12.315 states/eV/cell
* total energy: -3.310 eV/atom
* formation energy without anion corrections: -0.786 eV per atom
* symmetry: R-3 (148)

***

4.
This record from the Alexandria database describes a relaxed structure of KMn2CoBr8. The functional is PBE-GGA.

Structure (POSCAR):
```
KMn2CoBr8
1.0
-1.584 -3.302 -6.038
4.087 -0.055 -6.973
4.276 -6.731 2.559
K Mn Co Br
1 2 1 8
Cartesian
2.138 -3.366 1.280
4.435 -6.690 -4.601
2.344 -3.398 -5.852
0.000 0.000 0.000
3.914 -1.464 -4.991
6.719 -8.233 -5.472
0.274 -4.545 -7.012
2.864 -8.624 -5.461
0.059 -1.856 -4.980
6.505 -5.543 -3.440
3.939 -5.324 -6.881
2.840 -4.764 -3.572
```

Results
* total energy: -4.069 eV/atom
* formation energy without anion corrections: -0.742 eV per atom
* symmetry: P2/m (10)

***

5.
This record from the Alexandria database describes a relaxed structure of KCoMoBr2. The functional is PBE-GGA.

Structure (POSCAR):
```
KCoMoBr2
1.0
5.883 0.000 0.000
0.000 6.102 0.000
0.000 0.000 5.883
Mo Co K Br
1 1 1 2
Cartesian
0.000 3.051 0.000
2.942 3.051 2.942
0.000 0.000 0.000
0.000 0.000 2.942
2.942 0.000 0.000
```

Results
* Fermi-level density of states: 4.236 states/eV/cell
* total energy: -2.959 eV/atom
* formation energy without anion corrections: 1.517 eV per atom
* symmetry: P4/mmm (123)